NbHgMo2P | GGA-PBE | optimized geometry

Structure (POSCAR):
```
NbHgMo2P
1.0
4.485 0.000 0.000
0.000 4.485 0.000
0.000 0.000 4.666
Nb Hg Mo P
1 1 2 1
Direct
0.000 0.000 0.000 Nb
0.500 0.500 0.000 Hg
0.000 0.500 0.500 Mo
0.500 0.000 0.500 Mo
0.000 0.000 0.500 P
```

Values from the calculation:
DFT total energy ... -7.019 eV/atom
E_form ... 470 meV/atom
Size of the total moment ... 0.00 μB per cell

***

NbSiHgMo2 | GGA-PBE | optimized geometry

Structure (POSCAR):
```
NbSiHgMo2
1.0
4.734 0.000 0.000
0.000 4.734 0.000
0.000 0.000 5.332
Nb Si Hg Mo
1 1 1 2
Direct
0.000 0.000 0.000 Nb
0.500 0.500 0.500 Si
0.000 0.000 0.500 Hg
0.000 0.500 0.000 Mo
0.500 0.000 0.000 Mo
```

Values from the calculation:
DFT total energy ... -5.638 eV/atom
Size of the total moment ... 1.34 μB per cell

***

TaNbHg2Mo | GGA-PBE | optimized geometry

Structure (POSCAR):
```
TaNbHg2Mo
1.0
5.186 0.000 0.000
0.000 5.186 0.000
0.000 0.000 4.591
Ta Nb Hg Mo
1 1 2 1
Direct
0.000 0.000 0.000 Ta
0.500 0.500 0.500 Nb
0.000 0.500 0.500 Hg
0.500 0.000 0.500 Hg
0.500 0.500 0.000 Mo
```

Values from the calculation:
DFT total energy ... -4.802 eV/atom
E_form ... 1869 meV/atom
Size of the total moment ... 0.00 μB per cell

***

> DFT total energy of number 2 (NbSiHgMo2)?

-5.638 eV/atom

***

> The highest size of the total moment belongs to which entry?

NbSiHgMo2

***

> DFT total energy of number 2 (NbSiHgMo2)?

-5.638 eV/atom